No. 1
Entry from Alexandria: a relaxed PmSm2AgSe5 crystal (PBE).

a b c (Å): 4.1544 17.5292 12.5725
angles (deg): 90.00 90.00 90.00
Space group Cmc2_1 (No. 36)
Asymmetric unit:
Pm 0.0000 0.1956 0.0000
Sm 0.0000 0.1102 0.6778
Sm 0.0000 0.1238 0.2969
Ag 0.0000 0.4455 0.4543
Se 0.0000 0.0433 0.0750
Se 0.0000 0.2875 0.6650
Se 0.0000 0.3089 0.3320
Se 0.0000 0.3626 0.9932
Se 0.0000 0.4978 0.7663

spin magnetization	0.000	Bohr magnetons per cell
energy	-5.343	eV per atom
ΔE_f (raw)	-1.51	eV per atom
DOS at the Fermi energy	0.3	states/eV per cell



No. 2
Entry from Alexandria: a relaxed Ta2PI crystal (PBE).

a b c (Å): 4.8519 4.8519 15.8583
angles (deg): 90.00 90.00 90.00
Space group I-42d (No. 122)
Asymmetric unit:
Ta 0.1680 0.2500 0.1250
P 0.0000 0.0000 0.0000
I 0.0000 0.0000 0.5000

spin magnetization	0.000	Bohr magnetons per cell
energy	-7.102	eV per atom
ΔE_f (raw)	0.56	eV per atom
DOS at the Fermi energy	21.3	states/eV per cell



No. 3
Entry from Alexandria: a relaxed PrErCu10 crystal (PBE).

a b c (Å): 4.1110 5.0635 8.7318
angles (deg): 90.00 90.00 90.00
Space group Pmmm (No. 47)
Asymmetric unit:
Pr 0.0000 0.0000 0.0000
Er 0.0000 0.5000 0.5000
Cu 0.0000 0.0000 0.3388
Cu 0.0000 0.5000 0.1731
Cu 0.5000 0.0000 0.5000
Cu 0.5000 0.2529 0.2553
Cu 0.5000 0.5000 0.0000

spin magnetization	0.000	Bohr magnetons per cell
ΔH_f (0 K)	-0.17	eV per atom
energy	-4.366	eV per atom
DOS at the Fermi energy	6.7	states/eV per cell



No. 4
Entry from Alexandria: a relaxed RbReO3 crystal (PBE).

a b c (Å): 5.9450 9.1551 9.4941
angles (deg): 90.00 90.00 90.00
Space group Immm (No. 71)
Asymmetric unit:
Rb 0.0000 0.0000 0.2408
Re 0.0000 0.3241 0.0000
O 0.0000 0.5000 0.1212
O 0.2491 0.2236 0.0000

spin magnetization	0.000	Bohr magnetons per cell
energy	-7.100	eV per atom
ΔE_f (raw)	-1.44	eV per atom



No. 5
Entry from Alexandria: a relaxed LiReMo2C crystal (PBE).

a b c (Å): 4.1876 4.1876 3.7002
angles (deg): 90.00 90.00 90.00
Space group P4/mmm (No. 123)
Asymmetric unit:
Li 0.0000 0.0000 0.0000
Re 0.5000 0.5000 0.0000
Mo 0.0000 0.5000 0.5000
C 0.0000 0.0000 0.5000

spin magnetization	0.000	Bohr magnetons per cell
ΔH_f (0 K)	0.38	eV per atom
energy	-8.671	eV per atom
DOS at the Fermi energy	2.4	states/eV per cell



No. 6
Entry from Alexandria: a relaxed CsICl2 crystal (PBE).

a b c (Å): 5.9875 5.9875 19.3098
angles (deg): 90.00 90.00 90.00
Space group I-42d (No. 122)
Asymmetric unit:
Cs 0.0000 0.0000 0.0000
I 0.0000 0.0000 0.5000
Cl 0.1478 0.2500 0.6250

spin magnetization	0.000	Bohr magnetons per cell
energy	-2.329	eV per atom
ΔE_f (raw)	-0.80	eV per atom
DOS at the Fermi energy	5.1	states/eV per cell



No. 7
Entry from Alexandria: a relaxed MnHgPBr crystal (PBE).

a b c (Å): 3.7152 5.2239 11.9706
angles (deg): 90.00 90.00 90.00
Space group Imm2 (No. 44)
Asymmetric unit:
Mn 0.0000 0.0000 0.0000
Hg 0.0000 0.5000 0.9549
P 0.0000 0.5000 0.4013
Br 0.0000 0.0000 0.1931

spin magnetization	5.101	Bohr magnetons per cell
energy	-4.103	eV per atom
ΔE_f (raw)	0.04	eV per atom
DOS at the Fermi energy	4.0	states/eV per cell



No. 8
Entry from Alexandria: a relaxed La12PmAl4N3 crystal (PBE).

a b c (Å): 10.3526 10.3526 10.3526
angles (deg): 90.00 90.00 90.00
Space group Im-3m (No. 229)
Asymmetric unit:
La 0.0000 0.0000 0.2739
La 0.0000 0.2500 0.5000
Pm 0.0000 0.0000 0.0000
Al 0.2500 0.2500 0.2500
N 0.0000 0.0000 0.5000

spin magnetization	0.001	Bohr magnetons per cell
energy	-5.620	eV per atom
ΔE_f (raw)	-0.43	eV per atom
DOS at the Fermi energy	28.3	states/eV per cell



- energy of number 2 (Ta2PI)?
  -7.102 eV per atom